one) The following is a PBE-GGA calculation of a relaxed PaReNi crystal, from Alexandria via LeMat-Bulk.

Its density of states at the Fermi level is 1.205 states/eV per atom. Its calculated volume is 51 Å³/cell.

The structure belongs to space group P3m1 (No. 156); the cell edges are 4.5060, 4.5060 and 2.9109 Å and the angles 90.00°, 90.00° and 120.00°. Symmetry generates all atoms from Pa at (0.0000, 0.0000, 0.0000), Re at (0.3333, 0.6667, 0.3247) and Ni at (0.6667, 0.3333, 0.6277).

---

two) The following is a PBE-GGA calculation of a relaxed PaReNi crystal, from Alexandria via LeMat-Bulk.

Its density of states at the Fermi level is 1.092 states/eV per atom. Its calculated volume is 204 Å³/cell.

The structure belongs to space group Imma (No. 74); the cell edges are 5.015, 5.204 and 7.816 Å and the angles 90.00°, 90.00° and 90.00°. Symmetry generates all atoms from Pa at (0.000, 0.250, 0.133), Re at (0.000, 0.000, 0.500) and Ni at (0.250, 0.250, 0.750).

---

Structures ranked by computed energy, the most stable listed first: two), one).

---

one) The following is a PBE-GGA calculation of a relaxed ZrPaNiRh crystal, from Alexandria via LeMat-Bulk.

Its density of states at the Fermi level is 1.079 states/eV per atom. Its calculated volume is 153 Å³/cell.

The structure belongs to space group Amm2 (No. 38); the cell edges are 4.320, 3.490 and 10.132 Å and the angles 90.00°, 90.00° and 90.00°. Symmetry generates all atoms from Zr at (0.000, 0.000, 0.000), Pa at (0.500, 0.000, 0.281), Ni at (0.000, 0.000, 0.735) and Rh at (0.500, 0.000, 0.552).

---

two) The following is a PBE-GGA calculation of a relaxed ZrPaNiRh crystal, from Alexandria via LeMat-Bulk.

Its density of states at the Fermi level is 1.638 states/eV per atom. Its calculated volume is 299 Å³/cell.

The structure belongs to space group F-43m (No. 216); the cell edges are 6.690, 6.690 and 6.690 Å and the angles 90.00°, 90.00° and 90.00°. Symmetry generates all atoms from Zr at (0.000, 0.000, 0.000), Pa at (0.000, 0.000, 0.500), Ni at (0.250, 0.250, 0.250) and Rh at (0.250, 0.250, 0.750).

---

Structures ranked by computed energy, the most stable listed first: one), two).

---

one) The following is a PBE-GGA calculation of a relaxed PaNi2Ru crystal, from Alexandria via LeMat-Bulk.

Its density of states at the Fermi level is 0.946 states/eV per atom. Its calculated volume is 245 Å³/cell.

The structure belongs to space group Fm-3m (No. 225); the cell edges are 6.259, 6.259 and 6.259 Å and the angles 90.00°, 90.00° and 90.00°. Symmetry generates all atoms from Pa at (0.000, 0.000, 0.000), Ni at (0.250, 0.250, 0.250) and Ru at (0.000, 0.000, 0.500).

---

two) The following is a PBE-GGA calculation of a relaxed PaNi2Ru crystal, from Alexandria via LeMat-Bulk.

Its density of states at the Fermi level is 1.113 states/eV per atom. Its calculated volume is 60 Å³/cell.

The structure belongs to space group P4/mmm (No. 123); the cell edges are 3.883, 3.883 and 4.009 Å and the angles 90.00°, 90.00° and 90.00°. Symmetry generates all atoms from Pa at (0.000, 0.000, 0.000), Ni at (0.000, 0.500, 0.500) and Ru at (0.500, 0.500, 0.000).

---

Structures ranked by computed energy, the most stable listed first: two), one).

---

one) The following is a PBE-GGA calculation of a relaxed PaNiRu crystal, from Alexandria via LeMat-Bulk.

Its density of states at the Fermi level is 0.968 states/eV per atom. Its calculated volume is 325 Å³/cell.

The structure belongs to space group R3m (No. 160, hexagonal axes); the cell edges are 4.4042, 4.4042 and 19.3684 Å and the angles 90.00°, 90.00° and 120.00°. Symmetry generates all atoms from Pa at (0.0000, 0.0000, 0.0000), Pa at (0.0000, 0.0000, 0.1886), Ni at (0.0000, 0.0000, 0.4343), Ni at (0.0000, 0.0000, 0.7134), Ru at (0.0000, 0.0000, 0.5793) and Ru at (0.0000, 0.0000, 0.8400).

---

two) The following is a PBE-GGA calculation of a relaxed PaNiRu crystal, from Alexandria via LeMat-Bulk.

Its density of states at the Fermi level is 0.982 states/eV per atom. Its calculated volume is 196 Å³/cell.

The structure belongs to space group Imma (No. 74); the cell edges are 4.793, 5.476 and 7.481 Å and the angles 90.00°, 90.00° and 90.00°. Symmetry generates all atoms from Pa at (0.000, 0.250, 0.124), Ni at (0.250, 0.250, 0.750) and Ru at (0.000, 0.000, 0.500).

---

Structures ranked by computed energy, the most stable listed first: two), one).